Entry 1:
{"formula": "GeBiB2Br", "functional": "PBE", "state": "relaxed", "raw_formation_energy_mev_per_atom": 1300, "total_magnetization_mub_per_cell": 0.001, "dos_at_fermi_per_ev_cell": 3.812, "lattice_angstrom": [[4.258, 0.000, 0.000], [0.000, 4.258, 0.000], [0.000, 0.000, 6.054]], "species": ["Bi", "B", "Br", "Ge", "B"], "fractional_positions": [[0.000, 0.000, 0.500], [0.500, 0.000, 0.000], [0.500, 0.500, 0.500], [0.000, 0.000, 0.000], [0.000, 0.500, 0.000]]}


Entry 2:
{"formula": "InBi4Pb7", "functional": "PBE", "state": "relaxed", "total_magnetization_mub_per_cell": 0.000, "total_energy_ev_per_atom": -3.58, "dos_at_fermi_per_ev_cell": 5.748, "lattice_angstrom": [[-4.702, 3.379, 1.010], [-2.510, -1.173, 9.345], [2.301, 7.360, 3.192]], "species": ["Pb", "In", "Pb", "Bi", "Pb", "Pb", "Pb", "Bi", "Pb", "Pb", "Bi", "Bi"], "fractional_positions": [[0.201, 0.125, 0.473], [0.000, 0.000, 0.000], [0.077, 0.679, 0.168], [0.569, 0.225, 0.637], [0.500, 0.000, 0.000], [0.799, 0.875, 0.527], [0.349, 0.576, 0.726], [0.727, 0.667, 0.878], [0.923, 0.321, 0.832], [0.651, 0.424, 0.274], [0.273, 0.333, 0.122], [0.431, 0.775, 0.363]]}


Entry 3:
{"formula": "LaOs2BrO", "functional": "PBE", "state": "relaxed", "raw_formation_energy_mev_per_atom": 1001, "total_magnetization_mub_per_cell": 0.000, "dos_at_fermi_per_ev_cell": 4.776, "lattice_angstrom": [[4.503, 0.000, 0.000], [0.000, 4.965, 0.000], [0.000, 0.000, 4.503]], "species": ["O", "Os", "Br", "La", "Os"], "fractional_positions": [[0.000, 0.500, 0.000], [0.500, 0.000, 0.000], [0.000, 0.000, 0.000], [0.500, 0.500, 0.500], [0.000, 0.000, 0.500]]}


Entry 4:
{"formula": "KCaGa2Cl8", "functional": "PBE", "state": "relaxed", "raw_formation_energy_mev_per_atom": -1436, "total_magnetization_mub_per_cell": 0.935, "dos_at_fermi_per_ev_cell": 6.433, "lattice_angstrom": [[-5.336, -3.089, -2.508], [-3.620, -4.045, 3.852], [-8.401, 4.901, 3.004]], "species": ["Cl", "Cl", "Cl", "K", "Cl", "Cl", "Ga", "Cl", "Cl", "Ga", "Ca", "Cl"], "fractional_positions": [[0.391, 0.716, 0.826], [0.933, 0.609, 0.174], [0.609, 0.284, 0.174], [0.500, 0.500, 0.500], [0.827, 0.827, 0.519], [0.284, 0.933, 0.174], [0.748, 0.748, 0.757], [0.173, 0.173, 0.481], [0.716, 0.067, 0.826], [0.252, 0.252, 0.243], [0.000, 0.000, 0.000], [0.067, 0.391, 0.826]]}


Entry 5:
{"formula": "Ti2AgBi", "functional": "PBE", "state": "relaxed", "total_magnetization_mub_per_cell": 0.000, "total_energy_ev_per_atom": -5.62, "dos_at_fermi_per_ev_cell": 3.592, "lattice_angstrom": [[4.236, 0.000, 0.000], [0.000, 4.257, 0.000], [0.000, 0.000, 4.257]], "species": ["Bi", "Ti", "Ti", "Ag"], "fractional_positions": [[0.500, 0.500, 0.500], [0.000, 0.500, 0.000], [0.000, 0.000, 0.500], [0.500, 0.000, 0.000]]}


Entry 6:
{"formula": "Rb2DyPuO6", "functional": "PBE", "state": "relaxed", "raw_formation_energy_mev_per_atom": -2535, "total_magnetization_mub_per_cell": 2.000, "lattice_angstrom": [[-3.454, -1.457, 4.837], [3.575, -4.844, 1.094], [5.046, 4.870, 5.070]], "species": ["O", "O", "O", "Dy", "O", "O", "O", "O", "Pu", "Rb", "Rb", "O", "O", "O", "Rb", "Pu", "O", "O", "Rb", "Dy"], "fractional_positions": [[0.265, 0.015, 0.500], [0.765, 0.985, 0.000], [0.735, 0.485, 0.500], [0.000, 0.750, 0.500], [0.235, 0.515, 0.000], [0.500, 0.250, 0.735], [0.265, 0.485, 0.500], [0.000, 0.750, 0.765], [0.000, 0.750, 0.000], [0.500, 0.750, 0.750], [0.000, 0.250, 0.750], [0.235, 0.985, 0.000], [0.765, 0.515, 0.000], [0.735, 0.015, 0.500], [0.500, 0.750, 0.250], [0.500, 0.250, 0.500], [0.500, 0.250, 0.265], [0.000, 0.750, 0.235], [0.000, 0.250, 0.250], [0.500, 0.250, 0.000]]}


Entry 7:
{"formula": "CoIrCl2", "functional": "PBE", "state": "relaxed", "polymorph_energy_mev_per_atom": 235.5, "raw_formation_energy_mev_per_atom": 323, "total_magnetization_mub_per_cell": 3.181, "dos_at_fermi_per_ev_cell": 4.517, "lattice_angstrom": [[-1.497, -0.901, -2.361], [2.413, 0.306, -1.647], [2.196, -8.126, 1.707]], "species": ["Cl", "Cl", "Co", "Ir"], "fractional_positions": [[0.500, 0.500, 0.347], [0.000, 0.000, 0.916], [0.000, 0.000, 0.526], [0.500, 0.500, 0.711]]}


Entry 8:
{"formula": "AgMoAs2", "functional": "PBE", "state": "relaxed", "polymorph_energy_mev_per_atom": 356.9, "total_magnetization_mub_per_cell": 0.000, "dos_at_fermi_per_ev_cell": 2.517, "lattice_angstrom": [[5.388, 0.142, 0.196], [1.843, 5.065, -0.196], [-2.900, -3.597, 2.782]], "species": ["As", "Mo", "As", "Ag"], "fractional_positions": [[0.973, 0.973, 0.000], [0.750, 0.250, 0.500], [0.527, 0.527, 0.000], [0.250, 0.750, 0.500]]}


Entry 9:
{"formula": "Ac2PuWN6", "functional": "PBE", "state": "relaxed", "raw_formation_energy_mev_per_atom": -969, "total_magnetization_mub_per_cell": 4.002, "dos_at_fermi_per_ev_cell": 8.092, "lattice_angstrom": [[5.910, 0.000, 0.000], [0.000, 5.987, 0.000], [0.000, 0.000, 8.300]], "species": ["N", "Pu", "Ac", "N", "W", "Ac", "N", "Ac", "N", "Ac", "N", "N", "N", "N", "N", "N", "Pu", "N", "W", "N"], "fractional_positions": [[0.748, 0.488, 0.000], [0.500, 0.247, 0.500], [0.000, 0.229, 0.249], [0.752, 0.512, 0.500], [0.000, 0.722, 0.500], [0.500, 0.771, 0.749], [0.500, 0.226, 0.236], [0.500, 0.771, 0.251], [0.000, 0.774, 0.264], [0.000, 0.229, 0.751], [0.000, 0.774, 0.736], [0.248, 0.512, 0.500], [0.749, 0.008, 0.500], [0.252, 0.488, 0.000], [0.249, 0.992, 0.000], [0.751, 0.992, 0.000], [0.000, 0.753, 0.000], [0.251, 0.008, 0.500], [0.500, 0.278, 0.000], [0.500, 0.226, 0.764]]}


Entry 10:
{"formula": "Yb6Np", "functional": "PBE", "state": "relaxed", "total_magnetization_mub_per_cell": 6.606, "total_energy_ev_per_atom": -1.80, "dos_at_fermi_per_ev_cell": 21.902, "lattice_angstrom": [[-1.905, -7.299, -1.803], [7.723, 0.697, 0.141], [-2.884, 1.776, 6.978]], "species": ["Yb", "Yb", "Np", "Yb", "Yb", "Yb", "Yb"], "fractional_positions": [[0.750, 0.250, 0.500], [0.750, 0.500, 0.250], [0.000, 0.000, 0.000], [0.250, 0.500, 0.750], [0.500, 0.750, 0.250], [0.500, 0.250, 0.750], [0.250, 0.750, 0.500]]}


Entry 11:
{"formula": "Ti3PtN", "functional": "PBE", "state": "relaxed", "raw_formation_energy_mev_per_atom": -385, "total_magnetization_mub_per_cell": 0.000, "dos_at_fermi_per_ev_cell": 12.572, "lattice_angstrom": [[-0.481, -2.076, 4.440], [4.299, -2.321, -0.620], [5.020, 2.845, 4.605]], "species": ["Ti", "N", "N", "Pt", "Ti", "Pt", "Ti", "Ti", "Ti", "Ti"], "fractional_positions": [[0.285, 0.285, 0.429], [0.000, 0.000, 0.000], [0.250, 0.750, 0.500], [0.638, 0.138, 0.723], [0.628, 0.895, 0.211], [0.862, 0.362, 0.277], [0.105, 0.839, 0.789], [0.161, 0.895, 0.211], [0.715, 0.715, 0.571], [0.105, 0.372, 0.789]]}


Entry 12:
{"formula": "Ca2CdGe4Pt3", "functional": "PBE", "state": "relaxed", "total_magnetization_mub_per_cell": 0.000, "total_energy_ev_per_atom": -4.80, "dos_at_fermi_per_ev_cell": 4.194, "lattice_angstrom": [[4.351, 0.000, 0.000], [0.000, 4.351, 0.000], [0.000, 0.000, 10.573]], "species": ["Ge", "Pt", "Ge", "Ge", "Ca", "Pt", "Ge", "Ca", "Pt", "Cd"], "fractional_positions": [[0.000, 0.500, 0.354], [0.500, 0.000, 0.878], [0.500, 0.000, 0.646], [0.500, 0.500, 0.000], [0.000, 0.500, 0.755], [0.000, 0.000, 0.500], [0.000, 0.000, 0.000], [0.500, 0.000, 0.245], [0.000, 0.500, 0.122], [0.500, 0.500, 0.500]]}